Density functional theory data (PBE+U) for an optimized crystal structure of La2CoO4.

Output
**Total energy**: -7.41 eV/atom
**Magnetic moment**: 3.00 μB per formula unit

```
data_La2CoO4
_chemical_formula_sum 'La4 Co2 O8'
_symmetry_space_group_name_H-M 'P 1'
_symmetry_Int_Tables_number 1
_symmetry_space_group_name_Hall 'P 1'
_cell_length_a 6.9011
_cell_length_b 6.9011
_cell_length_c 6.9011
_cell_angle_alpha 119.99
_cell_angle_beta 90.01
_cell_angle_gamma 119.99
loop_
_atom_site_label
_atom_site_type_symbol
_atom_site_fract_x
_atom_site_fract_y
_atom_site_fract_z
_atom_site_occupancy
Co1 Co 0.0000 0.0000 0.0000 1
Co2 Co 0.7500 0.5000 0.2500 1
La1 La 0.3750 0.7500 0.1250 1
La2 La 0.3750 0.7500 0.6250 1
La3 La 0.3750 0.2500 0.6250 1
La4 La 0.8750 0.2500 0.6250 1
O1 O 0.1290 0.7527 0.3763 1
O2 O 0.6236 0.2473 0.3763 1
O3 O 0.6237 0.7527 0.3764 1
O4 O 0.1263 0.2527 0.3790 1
O5 O 0.6237 0.2473 0.8710 1
O6 O 0.1263 0.7473 0.8736 1
O7 O 0.1264 0.2527 0.8737 1
O8 O 0.6210 0.7473 0.8737 1
```